[1]
Entry from Alexandria via LeMat-Bulk: an optimized crystal structure of CePu2Rh (PBE).

Cell lengths 3.501, 3.501, 7.242 Å; angles 90.00, 90.00, 90.00 degrees
Each line ends with the local moment (μB).
Positions (direct):
1 Ce 0.500 0.500 0.500  0.21
2 Pu 0.000 0.000 0.782  5.07
3 Pu 0.000 0.000 0.218  5.07
4 Rh 0.500 0.500 0.000  -0.27

Results
Density ... 13.68 g cm⁻³
Distance to the lowest polymorph of the same formula ... 0.002 eV/atom
DFT formation energy ... -0.78 eV per formula unit
Symmetry ... P4/mmm
Uncorrected energy ... -10.68 eV per atom


[2]
Entry from Alexandria via LeMat-Bulk: an optimized crystal structure of Cs2OsPd (PBE).

Cell lengths 5.761, 5.761, 5.761 Å; angles 60.00, 60.00, 60.00 degrees
Each line ends with the local moment (μB).
Positions (direct):
1 Cs 0.250 0.250 0.250  0.00
2 Cs 0.750 0.750 0.750  0.00
3 Pd 0.000 0.000 0.000  -0.02
4 Os 0.500 0.500 0.500  2.23

Results
Density ... 6.91 g cm⁻³
DFT formation energy ... 6.68 eV per formula unit
Symmetry ... Fm-3m
Uncorrected energy ... -2.86 eV per atom


[3]
Entry from Alexandria via LeMat-Bulk: an optimized crystal structure of NaSi (PBE).

Cell lengths 6.570, 6.570, 6.570 Å; angles 90.00, 90.00, 90.00 degrees
Positions (direct):
1 Na 0.250 0.250 0.250
2 Na 0.250 0.750 0.750
3 Na 0.750 0.250 0.750
4 Na 0.750 0.750 0.250
5 Si 0.500 0.000 0.500
6 Si 0.000 0.000 0.000
7 Si 0.000 0.500 0.500
8 Si 0.500 0.500 0.000

Results
Raw formation energy ... 1.356 eV per atom
Density ... 1.20 g cm⁻³
Distance to the lowest polymorph of the same formula ... 1.370 eV/atom
Symmetry ... F-43m
Uncorrected energy ... -2.01 eV per atom


[4]
Entry from Alexandria via LeMat-Bulk: an optimized crystal structure of Cs3Ag2AuCl6 (PBE).

Cell lengths 7.942, 7.942, 8.884 Å; angles 90.00, 90.00, 120.00 degrees
Positions (direct):
1 Cl 0.843 0.157 0.699
2 Cl 0.687 0.843 0.301
3 Cl 0.157 0.843 0.301
4 Cl 0.313 0.157 0.699
5 Cl 0.843 0.687 0.699
6 Cl 0.157 0.313 0.301
7 Ag 0.333 0.667 0.245
8 Ag 0.667 0.333 0.755
9 Cs 0.333 0.667 0.645
10 Cs 0.667 0.333 0.355
11 Cs 0.000 0.000 0.000
12 Au 0.000 0.000 0.500

Results
Raw formation energy ... -1.039 eV per atom
Density ... 3.50 g cm⁻³
Symmetry ... P-3m1
Uncorrected energy ... -2.92 eV per atom


[5]
Entry from Alexandria via LeMat-Bulk: an optimized crystal structure of Er3TlCo (PBE).

Cell lengths 5.111, 5.111, 5.111 Å; angles 90.00, 90.00, 90.00 degrees
Positions (direct):
1 Er 0.500 0.000 0.000
2 Er 0.000 0.500 0.000
3 Er 0.000 0.000 0.500
4 Co 0.000 0.000 0.000
5 Tl 0.500 0.500 0.500

Results
Density ... 9.51 g cm⁻³
Distance to the lowest polymorph of the same formula ... 0.067 eV/atom
DFT formation energy ... -0.76 eV per formula unit
Symmetry ... Pm-3m
Uncorrected energy ... -4.78 eV per atom


[6]
Entry from Alexandria via LeMat-Bulk: an optimized crystal structure of La4Si4I3 (PBE).

Cell lengths 12.530, 12.530, 12.633 Å; angles 82.29, 82.29, 19.61 degrees
Positions (direct):
1 Si 0.523 0.523 0.410
2 Si 0.905 0.905 0.860
3 Si 0.477 0.477 0.590
4 Si 0.050 0.050 0.985
5 Si 0.950 0.950 0.015
6 Si 0.095 0.095 0.140
7 Si 0.043 0.043 0.318
8 Si 0.957 0.957 0.682
9 La 0.497 0.497 0.166
10 La 0.073 0.073 0.554
11 La 0.638 0.638 0.290
12 La 0.362 0.362 0.710
13 La 0.644 0.644 0.976
14 La 0.927 0.927 0.446
15 La 0.503 0.503 0.834
16 La 0.356 0.356 0.024
17 I 0.199 0.199 0.427
18 I 0.631 0.631 0.712
19 I 0.757 0.757 0.130
20 I 0.369 0.369 0.288
21 I 0.243 0.243 0.870
22 I 0.801 0.801 0.573

Results
Raw formation energy ... -1.067 eV per atom
Density ... 5.28 g cm⁻³
Symmetry ... C2/m
Uncorrected energy ... -5.25 eV per atom


[7]
Entry from Alexandria via LeMat-Bulk: an optimized crystal structure of LaY4Al2 (PBE).

Cell lengths 5.385, 5.385, 8.463 Å; angles 71.45, 71.45, 60.00 degrees
Positions (direct):
1 Y 0.846 0.846 0.463
2 Y 0.581 0.581 0.256
3 Y 0.154 0.154 0.537
4 Y 0.419 0.419 0.744
5 Al 0.281 0.281 0.157
6 Al 0.719 0.719 0.843
7 La 0.000 0.000 0.000

Results
Density ... 4.61 g cm⁻³
DFT formation energy ... -1.52 eV per formula unit
Symmetry ... R-3m
Uncorrected energy ... -5.68 eV per atom


[8]
Entry from Alexandria via LeMat-Bulk: an optimized crystal structure of RbZr5Te8 (PBE).

Cell lengths 3.984, 10.276, 10.819 Å; angles 104.23, 100.61, 90.00 degrees
Positions (direct):
1 Te 0.756 0.839 0.512
2 Te 0.914 0.188 0.829
3 Te 0.571 0.190 0.143
4 Te 0.429 0.810 0.857
5 Te 0.842 0.496 0.685
6 Te 0.244 0.161 0.488
7 Te 0.158 0.504 0.315
8 Te 0.086 0.812 0.171
9 Zr 0.291 0.650 0.582
10 Zr 0.650 0.003 0.299
11 Zr 0.350 0.997 0.701
12 Zr 0.000 0.000 0.000
13 Zr 0.709 0.350 0.418
14 Rb 0.500 0.500 0.000

Results
Raw formation energy ... -0.951 eV per atom
Density ... 6.15 g cm⁻³
Symmetry ... C2/m
Uncorrected energy ... -5.87 eV per atom


[9]
Entry from Alexandria via LeMat-Bulk: an optimized crystal structure of InRuAu2 (PBE).

Cell lengths 4.975, 3.076, 4.752 Å; angles 88.49, 90.00, 90.00 degrees
Each line ends with the local moment (μB).
Positions (direct):
1 Ru 0.500 0.750 0.750  0.66
2 In 0.500 0.250 0.250  -0.02
3 Au 0.000 0.501 0.506  0.00
4 Au 0.000 0.999 0.994  0.00

Results
Density ... 13.93 g cm⁻³
DFT formation energy ... 0.93 eV per formula unit
Symmetry ... P2/m
Uncorrected energy ... -4.41 eV per atom


[10]
Entry from Alexandria via LeMat-Bulk: an optimized crystal structure of Cs2Cd2Sn (PBE).

Cell lengths 5.390, 5.390, 8.536 Å; angles 71.60, 71.60, 90.00 degrees
Positions (direct):
1 Cd 0.589 0.589 0.822
2 Cd 0.411 0.411 0.178
3 Cs 0.750 0.250 0.500
4 Cs 0.250 0.750 0.500
5 Sn 0.000 0.000 0.000

Results
Density ... 4.56 g cm⁻³
Distance to the lowest polymorph of the same formula ... 0.457 eV/atom
DFT formation energy ... 1.58 eV per formula unit
Symmetry ... I4/mmm
Uncorrected energy ... -1.19 eV per atom


[11]
Entry from Alexandria via LeMat-Bulk: an optimized crystal structure of Li2MgTc3N6 (PBE).

Cell lengths 2.895, 6.295, 6.859 Å; angles 108.13, 102.18, 90.00 degrees
Positions (direct):
1 N 0.000 0.751 0.001
2 N 0.324 0.945 0.648
3 N 0.667 0.581 0.333
4 N 0.333 0.419 0.667
5 N 0.000 0.249 0.999
6 N 0.676 0.055 0.352
7 Mg 0.500 0.000 0.000
8 Li 0.828 0.671 0.656
9 Li 0.172 0.329 0.344
10 Tc 0.500 0.500 0.000
11 Tc 0.843 0.199 0.686
12 Tc 0.157 0.801 0.314

Results
Raw formation energy ... -0.261 eV per atom
Density ... 5.97 g cm⁻³
Symmetry ... C2/m
Uncorrected energy ... -7.47 eV per atom


[12]
Entry from Alexandria via LeMat-Bulk: an optimized crystal structure of PmErNiRh (PBE).

Cell lengths 4.869, 4.869, 4.869 Å; angles 60.00, 60.00, 60.00 degrees
Positions (direct):
1 Rh 0.000 0.000 0.000
2 Pm 0.750 0.750 0.750
3 Ni 0.500 0.500 0.500
4 Er 0.250 0.250 0.250

Results
Density ... 9.64 g cm⁻³
Distance to the lowest polymorph of the same formula ... 0.048 eV/atom
DFT formation energy ... -2.25 eV per formula unit
Symmetry ... F-43m
Uncorrected energy ... -6.17 eV per atom